No. 1
The following is a PBE-GGA calculation of crystalline Rb2Hf2Zr at its relaxed geometry, from the Alexandria database.

Cell lengths 10.7012, 10.7012, 3.0382 Å; angles 90.00, 90.00, 90.00 degrees
With the nearest neighbours (Å) after each atom.
Fractional coordinates of all 10 atoms:
Rb 0.2020 0.2980 0.0000  2 Rb 3.04
Rb 0.2980 0.7980 0.0000  2 Rb 3.04
Rb 0.7020 0.2020 0.0000  2 Rb 3.04
Rb 0.7980 0.7020 0.0000  2 Rb 3.04
Hf 0.0921 0.5921 0.5000  3 Hf 2.79-3.04
Hf 0.4079 0.0921 0.5000  3 Hf 2.79-3.04
Hf 0.5921 0.9079 0.5000  3 Hf 2.79-3.04
Hf 0.9079 0.4079 0.5000  3 Hf 2.79-3.04
Zr 0.0000 0.0000 0.5000  2 Zr 3.04
Zr 0.5000 0.5000 0.5000  2 Zr 3.04

Results
- SG = No. 127
- offset from the most stable computed form (meV per atom) = 394
- formation energy (eV/atom) = 1.636
- size of the total moment (μB per formula unit) = 0.00

***

No. 2
The following is a PBE-GGA calculation of crystalline Rb2Hf2Zr at its relaxed geometry, from the Alexandria database.

Cell lengths 9.4525, 9.4525, 9.4525 Å; angles 154.33, 154.33, 36.62 degrees
With the nearest neighbours (Å) after each atom.
Fractional coordinates of all 5 atoms:
Rb 0.2500 0.7500 0.5000  4 Rb 2.97
Rb 0.7500 0.2500 0.5000  4 Rb 2.97
Hf 0.0742 0.0742 0.0000  1 Hf 2.67
Hf 0.9258 0.9258 0.0000  1 Hf 2.67
Zr 0.5000 0.5000 0.0000  8 Hf 3.25

Results
- SG = No. 139
- offset from the most stable computed form (meV per atom) = 0
- formation energy (eV/atom) = 1.242
- size of the total moment (μB per formula unit) = 1.11

***

No. 3
The following is a PBE-GGA calculation of crystalline Rb2HfZr at its relaxed geometry, from the Alexandria database.

Cell lengths 5.8402, 5.8402, 5.8402 Å; angles 60.00, 60.00, 60.00 degrees
With the nearest neighbours (Å) after each atom.
Fractional coordinates of all 4 atoms:
Rb 0.2500 0.2500 0.2500  4 Hf 3.58, 4 Zr 3.58
Rb 0.7500 0.7500 0.7500  4 Zr 3.58, 4 Hf 3.58
Hf 0.0000 0.0000 0.0000  8 Rb 3.58
Zr 0.5000 0.5000 0.5000  8 Rb 3.58

Results
- SG = No. 225
- offset from the most stable computed form (meV per atom) = 320
- formation energy (eV/atom) = 1.848
- size of the total moment (μB per formula unit) = 0.00

***

No. 4
The following is a PBE-GGA calculation of crystalline Rb3HfZr at its relaxed geometry, from the Alexandria database.

Cell lengths 6.8907, 6.8907, 6.8907 Å; angles 90.00, 90.00, 90.00 degrees
With the nearest neighbours (Å) after each atom.
Fractional coordinates of all 5 atoms:
Rb 0.0000 0.0000 0.5000  2 Zr 3.45
Rb 0.0000 0.5000 0.0000  2 Zr 3.45
Rb 0.5000 0.0000 0.0000  2 Zr 3.45
Hf 0.5000 0.5000 0.5000  12 Rb 4.87
Zr 0.0000 0.0000 0.0000  6 Rb 3.45

Results
- SG = No. 221
- formation energy (eV/atom) = 2.002
- size of the total moment (μB per formula unit) = 7.00